Record 1
RbZnAuO2 PBE relaxed; SG = P4/mmm
1.0
4.292 0.000 0.000
0.000 4.292 0.000
0.000 0.000 6.895
Rb Zn Au O
1 1 1 2
Direct
0.000 0.000 0.000
0.500 0.500 0.500
0.000 0.000 0.500
0.000 0.500 0.000
0.500 0.000 0.000


Record 2
Re3AuO PBE relaxed; SG = Pm-3m
1.0
4.908 0.000 0.000
0.000 4.908 0.000
0.000 0.000 4.908
Re Au O
3 1 1
Direct
0.000 0.000 0.500
0.000 0.500 0.000
0.500 0.000 0.000
0.000 0.000 0.000
0.500 0.500 0.500


Record 3
Re3AuO PBE relaxed; SG = Pm-3m
1.0
4.118 0.000 0.000
0.000 4.118 0.000
0.000 0.000 4.118
Re Au O
3 1 1
Direct
0.000 0.000 0.500
0.000 0.500 0.000
0.500 0.000 0.000
0.500 0.500 0.500
0.000 0.000 0.000


Record 4
Re2AuO8 PBE relaxed; SG = C2/m
1.0
4.352 -5.942 0.000
4.352 5.942 0.000
-1.618 0.000 5.956
Re Au O
2 1 8
Direct
0.229 0.229 0.361
0.771 0.771 0.639
0.500 0.500 0.000
0.022 0.022 0.266
0.174 0.410 0.526
0.313 0.313 0.116
0.410 0.174 0.526
0.590 0.826 0.474
0.687 0.687 0.884
0.826 0.590 0.474
0.978 0.978 0.734


Record 5
Re2AuO PBE relaxed; SG = I-42d
1.0
-2.237 2.237 6.774
2.237 -2.237 6.774
2.237 2.237 -6.774
Re Au O
4 2 2
Direct
0.375 0.245 0.370
0.755 0.125 0.130
0.875 0.005 0.630
0.995 0.625 0.870
0.250 0.750 0.500
0.500 0.500 0.000
0.000 0.000 0.000
0.750 0.250 0.500


Record 6
Re2AuSO PBE relaxed; SG = P4/mmm
1.0
3.897 0.000 0.000
0.000 3.897 0.000
0.000 0.000 5.597
Re Au S O
2 1 1 1
Direct
0.000 0.500 0.000
0.500 0.000 0.000
0.000 0.000 0.500
0.500 0.500 0.500
0.000 0.000 0.000


Number 1: ΔE_f (raw) 0.943 eV per atom, calculated volume 25.4 A^3/atom. Number 2: ΔE_f (raw) 3.577 eV per atom, calculated volume 23.6 A^3/atom. Number 3: ΔE_f (raw) 0.593 eV per atom, calculated volume 14.0 A^3/atom. Number 4: ΔE_f (raw) -1.112 eV per atom, calculated volume 28.0 A^3/atom. Number 5: ΔE_f (raw) 0.713 eV per atom, calculated volume 17.0 A^3/atom. Number 6: ΔE_f (raw) 1.019 eV per atom, calculated volume 17.0 A^3/atom.